Entry 1:
NaTc2PtPb: optimized geometry, GGA-PBE.

Computed properties:
Its formation energy is 1.8542 eV/atom. As for the calculated density: 9.98 g/cm3.

```
NaTc2PtPb
1.0
4.6916 0.0000 0.0000
0.0000 4.6916 0.0000
0.0000 0.0000 4.6958
Na Tc Pt Pb
1 2 1 1
direct
0.0000 0.0000 0.0000
0.0000 0.5000 0.0000
0.5000 0.0000 0.0000
0.0000 0.0000 0.5000
0.5000 0.5000 0.5000
```



Entry 2:
NaTl2PtPb: optimized geometry, GGA-PBE.

Computed properties:
Its formation energy is 0.0275 eV/atom. As for the calculated density: 9.19 g/cm3.

```
NaTl2PtPb
1.0
5.2792 0.0000 0.0000
0.0000 5.2792 0.0000
0.0000 0.0000 5.4053
Na Tl Pt Pb
1 2 1 1
direct
0.0000 0.0000 0.0000
0.0000 0.5000 0.5000
0.5000 0.0000 0.5000
0.0000 0.0000 0.5000
0.5000 0.5000 0.0000
```



Entry 3:
NaTlPtPb2: optimized geometry, GGA-PBE.

Computed properties:
Its formation energy is -0.0235 eV/atom. As for the calculated density: 8.85 g/cm3.

```
NaTlPtPb2
1.0
5.3605 0.0000 0.0000
0.0000 5.3605 0.0000
0.0000 0.0000 5.4665
Na Tl Pt Pb
1 1 1 2
direct
0.0000 0.0000 0.0000
0.5000 0.5000 0.0000
0.0000 0.0000 0.5000
0.0000 0.5000 0.5000
0.5000 0.0000 0.5000
```



Entry 4:
NaTlPtPb: optimized geometry, GGA-PBE.

Computed properties:
Its formation energy is -0.1066 eV/atom. As for the calculated density: 11.74 g/cm3.

```
NaTlPtPb
1.0
7.0894 0.0000 0.0000
0.0000 7.0894 0.0000
0.0000 0.0000 7.0894
Na Tl Pt Pb
4 4 4 4
direct
0.0000 0.0000 0.0000
0.0000 0.5000 0.5000
0.5000 0.0000 0.5000
0.5000 0.5000 0.0000
0.2500 0.2500 0.2500
0.2500 0.7500 0.7500
0.7500 0.2500 0.7500
0.7500 0.7500 0.2500
0.0000 0.0000 0.5000
0.0000 0.5000 0.0000
0.5000 0.0000 0.0000
0.5000 0.5000 0.5000
0.2500 0.2500 0.7500
0.2500 0.7500 0.2500
0.7500 0.2500 0.2500
0.7500 0.7500 0.7500
```



Entry 5:
Na2PuPb9: optimized geometry, GGA-PBE.

Computed properties:
Its formation energy is -0.1160 eV/atom. As for the calculated density: 10.07 g/cm3.

```
Na2PuPb9
1.0
4.8942 0.0000 0.0000
0.0000 4.8942 0.0000
0.0000 0.0000 14.8328
Na Pu Pb
2 1 9
direct
0.0000 0.0000 0.1708
0.0000 0.0000 0.8292
0.0000 0.0000 0.5000
0.0000 0.5000 0.0000
0.0000 0.5000 0.3342
0.0000 0.5000 0.6658
0.5000 0.0000 0.0000
0.5000 0.0000 0.3342
0.5000 0.0000 0.6658
0.5000 0.5000 0.1656
0.5000 0.5000 0.5000
0.5000 0.5000 0.8344
```



Entry 6:
NaPu2Pb3: optimized geometry, GGA-PBE.

Computed properties:
Its formation energy is -0.1552 eV/atom. As for the calculated density: 11.11 g/cm3.

```
NaPu2Pb3
1.0
3.4054 0.0000 0.0000
0.0000 3.4054 0.0000
0.0000 0.0000 14.6003
Na Pu Pb
1 2 3
direct
0.0000 0.0000 0.0000
0.0000 0.0000 0.3378
0.0000 0.0000 0.6622
0.5000 0.5000 0.1704
0.5000 0.5000 0.5000
0.5000 0.5000 0.8296
```



no.,final energy (eV/atom)
1,-4.506
2,-3.133
3,-3.452
4,-3.465
5,-4.311
6,-7.007